Ag2RhF6 | PBE | optimized geometry

* volume: 283.99 Å³/cell
* crystal system: tetragonal
* total moment: 1.08 μB/f.u.
* formation energy (no corrections): -12.160 eV per formula unit
* energy: -4.05 eV per atom
* space-group type: P4_2/mnm (136)

Lattice parameters (Å, degrees): 5.1826 5.1826 10.5733 90.00 90.00 90.00
Last column: nearest neighbours and their distance in Å.
Fractional positions:
Ag 0.0000 0.0000 0.1622  6 F 2.36-2.46
Ag 0.0000 0.0000 0.8378  6 F 2.36-2.46
Ag 0.5000 0.5000 0.3378  6 F 2.36-2.46
Ag 0.5000 0.5000 0.6622  6 F 2.36-2.46
Rh 0.0000 0.0000 0.5000  6 F 1.97-1.99
Rh 0.5000 0.5000 0.0000  6 F 1.97-1.99
F 0.1796 0.1796 0.3593  1 Rh 1.99
F 0.1796 0.1796 0.6407  1 Rh 1.99
F 0.2309 0.2309 0.0000  1 Rh 1.97
F 0.2691 0.7309 0.5000  1 Rh 1.97
F 0.3204 0.6796 0.1407  1 Rh 1.99
F 0.3204 0.6796 0.8593  1 Rh 1.99
F 0.6796 0.3204 0.1407  1 Rh 1.99
F 0.6796 0.3204 0.8593  1 Rh 1.99
F 0.7309 0.2691 0.5000  1 Rh 1.97
F 0.7691 0.7691 0.0000  1 Rh 1.97
F 0.8204 0.8204 0.3593  1 Rh 1.99
F 0.8204 0.8204 0.6407  1 Rh 1.99